No. 1
! LiMoOs2 | Alexandria via LeMat-Bulk | meta-GGA SCAN | PBEsol geometry; values from VASP
! Calculated total energy = -3.30556 Ry/atom
! Energy relative to the lowest polymorph listed for this composition = 259 meV per atom
! Volume = 13.6 Å³ per atom
! Energy of formation = 0.28 eV per atom
&SYSTEM
  ibrav = 0, nat = 4, ntyp = 3
/
ATOMIC_SPECIES
Mo 95.94 Mo.upf
Li 6.94 Li.upf
Os 190.23 Os.upf
CELL_PARAMETERS angstrom
-3.643 -0.258 0.624
0.580 -2.944 2.173
1.900 3.991 1.740
ATOMIC_POSITIONS crystal
Mo 0.250 0.750 0.500
Li 0.500 0.500 0.000
Os 0.000 0.000 0.000
Os 0.750 0.250 0.500

***

No. 2
! KMnRe2 | Alexandria via LeMat-Bulk | meta-GGA SCAN | PBEsol geometry; values from VASP
! Calculated total energy = -2.99397 Ry/atom
! Energy relative to the lowest polymorph listed for this composition = 730 meV per atom
! Volume = 17.0 Å³ per atom
! Energy of formation = 1.46 eV per atom
&SYSTEM
  ibrav = 0, nat = 4, ntyp = 3
/
ATOMIC_SPECIES
Re 186.21 Re.upf
Mn 54.94 Mn.upf
K 39.10 K.upf
CELL_PARAMETERS angstrom
-3.202 1.816 -0.549
-1.836 -3.237 0.000
1.887 1.069 5.142
ATOMIC_POSITIONS crystal
Re 0.250 0.750 0.500
Re 0.750 0.250 0.500
Mn 0.000 0.000 0.000
K 0.500 0.500 0.000

***

No. 3
! ScHgCl2 | Alexandria via LeMat-Bulk | meta-GGA SCAN | PBEsol geometry; values from VASP
! Calculated total energy = -1.91159 Ry/atom
! Energy relative to the lowest polymorph listed for this composition = 0 meV per atom
! E_form (uncorrected) = -1.4188 eV per atom
! Volume = 24.2 Å³ per atom
&SYSTEM
  ibrav = 0, nat = 4, ntyp = 3
/
ATOMIC_SPECIES
Cl 35.45 Cl.upf
Hg 200.59 Hg.upf
Sc 44.96 Sc.upf
CELL_PARAMETERS angstrom
-1.970 -0.018 2.632
-1.294 -5.313 -1.005
5.692 1.104 2.214
ATOMIC_POSITIONS crystal
Cl 0.326 0.326 0.651
Hg 0.500 0.000 0.000
Sc 0.000 0.500 0.000
Cl 0.674 0.674 0.349